This record from the Alexandria database describes an optimized crystal structure of ErMgZnPb. The functional is PBE.

POSCAR file:
```
ErMgZnPb
1.0
0.000 3.612 3.612
3.612 0.000 3.612
3.612 3.612 0.000
Er Mg Zn Pb
1 1 1 1
direct
0.000 0.000 0.000
0.500 0.500 0.500
0.250 0.250 0.250
0.750 0.750 0.750
```

DOS at the Fermi energy (states/eV per cell): 2.2
Formation energy from the elements (eV per atom): -0.1774
Total moment (μB per cell): 0.000
Calculated volume (Å³/cell): 94
Electronic total energy (eV per atom): -2.962



This record from the Alexandria database describes an optimized crystal structure of CdRh3. The functional is PBE.

POSCAR file:
```
CdRh3
1.0
2.804 0.000 0.000
-1.402 2.428 0.000
0.000 0.000 9.077
Cd Rh
1 3
direct
0.000 0.000 0.000
0.000 0.000 0.500
0.333 0.667 0.262
0.333 0.667 0.738
```

DOS at the Fermi energy (states/eV per cell): 6.8
Formation energy from the elements (eV per atom): 0.0794
Total moment (μB per cell): 0.005
Calculated volume (Å³/cell): 62
Electronic total energy (eV per atom): -5.663